No. 1
! CuHgRh2 | Alexandria | meta-GGA SCAN | PBEsol geometry; values from VASP
! E_form   0.246 eV/atom
! M_tot   1.36 μB per cell
! Symmetry   P4/mmm, No. 123
&SYSTEM
  ibrav = 0, nat = 4, ntyp = 3
/
ATOMIC_SPECIES
Cu 63.55 Cu.upf
Hg 200.59 Hg.upf
Rh 102.91 Rh.upf
CELL_PARAMETERS angstrom
3.874 0.000 0.000
0.000 3.874 0.000
0.000 0.000 3.884
ATOMIC_POSITIONS crystal
Cu 0.000 0.000 0.000
Hg 0.500 0.500 0.000
Rh 0.000 0.500 0.500
Rh 0.500 0.000 0.500

=====

No. 2
! MgZnSe2 | Alexandria | meta-GGA SCAN | PBEsol geometry; values from VASP
! M_tot   0.00 μB per cell
! Uncorrected formation energy   -0.559 eV per atom
! Symmetry   Pmmn, No. 59
&SYSTEM
  ibrav = 0, nat = 8, ntyp = 3
/
ATOMIC_SPECIES
Mg 24.30 Mg.upf
Zn 65.41 Zn.upf
Se 78.96 Se.upf
CELL_PARAMETERS angstrom
3.724 0.000 0.000
0.000 5.288 0.000
0.000 0.000 8.713
ATOMIC_POSITIONS crystal
Mg 0.250 0.250 0.097
Mg 0.750 0.750 0.903
Zn 0.250 0.250 0.654
Zn 0.750 0.750 0.346
Se 0.250 0.250 0.385
Se 0.250 0.750 0.124
Se 0.750 0.250 0.876
Se 0.750 0.750 0.615

=====

No. 3
! SrHgSb | Alexandria | meta-GGA SCAN | PBEsol geometry; values from VASP
! Distance to the lowest polymorph of the same formula   0.000 eV/f.u.
! M_tot   0.00 μB per cell
! Uncorrected formation energy   -0.749 eV per atom
! Symmetry   P3m1, No. 156
&SYSTEM
  ibrav = 0, nat = 3, ntyp = 3
/
ATOMIC_SPECIES
Sr 87.62 Sr.upf
Hg 200.59 Hg.upf
Sb 121.76 Sb.upf
CELL_PARAMETERS angstrom
4.738 0.000 0.000
-2.369 4.103 0.000
0.000 0.000 4.607
ATOMIC_POSITIONS crystal
Sr 0.000 0.000 0.000
Hg 0.333 0.667 0.373
Sb 0.667 0.333 0.566

=====

No. 4
! InCuRh | Alexandria | meta-GGA SCAN | PBEsol geometry; values from VASP
! Distance to the lowest polymorph of the same formula   0.000 eV/f.u.
! E_form   -0.128 eV/atom
! M_tot   0.00 μB per cell
! Symmetry   Imm2, No. 44
&SYSTEM
  ibrav = 0, nat = 3, ntyp = 3
/
ATOMIC_SPECIES
In 114.82 In.upf
Cu 63.55 Cu.upf
Rh 102.91 Rh.upf
CELL_PARAMETERS angstrom
-1.510 1.764 4.189
1.510 -1.764 4.189
1.510 1.764 -4.189
ATOMIC_POSITIONS crystal
In 0.000 0.000 0.000
Cu 0.327 0.327 0.000
Rh 0.671 0.671 0.000